Here is a geometry-optimized Na2V2ReO6 structure from Alexandria. Energies are from PBE+U.

Geometry as extended XYZ:
```
11
Lattice="5.252 -0.009 0.047 -2.604 4.561 0.047 -0.932 -1.602 5.562" Properties=species:S:1:pos:R:3 pbc="T T T"
Na 3.931 0.759 0.047
Na -1.283 3.792 0.047
V -0.427 2.222 2.828
V 2.142 0.727 2.828
Re -0.466 -0.801 2.781
O 1.291 2.220 3.956
O -1.387 0.695 3.883
O 0.424 0.730 1.701
O 1.290 -0.862 3.883
O 3.102 2.254 1.773
O 0.426 3.811 1.773
```

- crystal system = monoclinic
- VASP energy (eV per atom) = -7.19